Crystalline Nd3Ho2Cd at its relaxed geometry. Source: Alexandria, functional GGA-PBE.

Cell lengths 3.6465, 3.6465, 14.3106 Å; angles 90.00, 90.00, 90.00 degrees
Closest atoms and distances in Å follow each position.
Fractional coordinates of all 6 atoms:
Ho 0.5000 0.5000 0.1744  8 Nd 3.59-3.61, 4 Ho 3.65
Ho 0.5000 0.5000 0.8256  8 Nd 3.59-3.61, 4 Ho 3.65
Nd 0.0000 0.0000 0.6494  4 Cd 3.35, 4 Ho 3.61, 4 Nd 3.65
Nd 0.0000 0.0000 0.0000  8 Ho 3.59, 4 Nd 3.65
Nd 0.0000 0.0000 0.3506  4 Cd 3.35, 4 Ho 3.61, 4 Nd 3.65
Cd 0.5000 0.5000 0.5000  8 Nd 3.35, 4 Cd 3.65

Values from the calculation:
Energy = -24.88 eV per cell
Density of states at the Fermi level = 8.04 states/eV/cell
Relative energy among the computed polymorphs = 0 meV/atom